(1)
This record from the Alexandria database describes a PBEsol-optimized structure of InGaS2. The functional is SCAN.

Unit cell a=4.6933 b=4.6933 c=4.6933 alpha=60.00 beta=60.00 gamma=60.00
Last column: nearest neighbours and their distance in Å.
Fractional positions:
In: 0.0000 0.0000 0.0000  8 S 2.87
Ga: 0.5000 0.5000 0.5000  8 S 2.87
S: 0.2500 0.2500 0.2500  4 In 2.87, 4 Ga 2.87
S: 0.7500 0.7500 0.7500  4 In 2.87, 4 Ga 2.87

Summary:
Volume, A^3/atom: 18.27
Final energy, eV per atom: -17.3043
M_tot, μB per atom: 0.000
Theoretical density, g cm⁻³: 5.649
Formation energy (no corrections), eV per atom: -0.06

=====

(2)
This record from the Alexandria database describes a PBEsol-optimized structure of Ca3FeH. The functional is SCAN.

Unit cell a=4.7893 b=4.7893 c=4.7893 alpha=90.00 beta=90.00 gamma=90.00
Last column: nearest neighbours and their distance in Å.
Fractional positions:
Ca: 0.0000 0.0000 0.5000  2 H 2.39
Ca: 0.0000 0.5000 0.0000  2 H 2.39
Ca: 0.5000 0.0000 0.0000  2 H 2.39
Fe: 0.5000 0.5000 0.5000  12 Ca 3.39
H: 0.0000 0.0000 0.0000  6 Ca 2.39

Summary:
Volume, A^3/atom: 21.97
Final energy, eV per atom: -9.9459
M_tot, μB per atom: 0.431
Theoretical density, g cm⁻³: 2.677

=====

(3)
This record from the Alexandria database describes a PBEsol-optimized structure of KMgTc. The functional is SCAN.

Unit cell a=6.5747 b=6.5747 c=6.5747 alpha=156.57 beta=139.26 gamma=47.52
Last column: nearest neighbours and their distance in Å.
Fractional positions:
K: 0.0000 0.0000 0.0000  2 K 2.67
Mg: 0.7225 0.7225 0.0000  2 Mg 2.67, 4 Tc 2.76
Tc: 0.2880 0.2880 0.0000  2 Tc 2.67, 4 Mg 2.76

Summary:
Volume, A^3/atom: 24.51
Final energy, eV per atom: -15.2676
M_tot, μB per atom: 0.346
Theoretical density, g cm⁻³: 3.646
ΔH_f (0 K), eV per atom: 0.853

=====

(4)
This record from the Alexandria database describes a PBEsol-optimized structure of Tc4POs. The functional is SCAN.

Unit cell a=4.9900 b=4.9900 c=4.9900 alpha=60.00 beta=60.00 gamma=60.00
Last column: nearest neighbours and their distance in Å.
Fractional positions:
Tc: 0.1249 0.1249 0.1249  6 Tc 2.49-2.50
Tc: 0.1249 0.1249 0.6253  6 Tc 2.49-2.50
Tc: 0.1249 0.6253 0.1249  6 Tc 2.49-2.50
Tc: 0.6253 0.1249 0.1249  6 Tc 2.49-2.50
P: 0.7500 0.7500 0.7500  12 Tc 2.93, 4 Os 3.06
Os: 0.5000 0.5000 0.5000  12 Tc 2.93, 4 P 3.06

Summary:
Volume, A^3/atom: 14.64
Final energy, eV per atom: -36.2952
M_tot, μB per atom: 0.000
Theoretical density, g cm⁻³: 11.589
ΔH_f (0 K), eV per atom: 0.791

=====

Number 1: DOS(E_F) 0.866 states/eV/cell. Number 2: DOS(E_F) 7.442 states/eV/cell. Number 3: DOS(E_F) 2.230 states/eV/cell. Number 4: DOS(E_F) 5.784 states/eV/cell.